# 1
DFT (PBE-GGA) results for a geometry-optimized PmPrSc2 structure.

```
PmPrSc2
1.0
-0.800 -1.308 -3.251
5.230 -2.495 -0.283
-3.302 -4.089 2.458
Pm Pr Sc
1 1 2
Direct
0.500 0.500 0.500
0.500 0.000 0.000
0.000 0.000 0.500
0.000 0.500 0.000
```

Values from the calculation:
Space group = Cmmm
Total moment = 0.0 μB per formula unit
ΔE to the lowest computed polymorph = 0.002 eV/atom

=====

# 2
DFT (PBE-GGA) results for a geometry-optimized SrPrGa2Rh2 structure.

```
SrPrGa2Rh2
1.0
4.338 0.000 0.000
-2.169 3.757 0.000
0.000 0.000 8.449
Rh Ga Pr Sr
2 2 1 1
Direct
0.667 0.333 0.281
0.333 0.667 0.719
0.667 0.333 0.738
0.333 0.667 0.262
0.000 0.000 0.500
0.000 0.000 0.000
```

Values from the calculation:
Space group = P-3m1
Total moment = 0.0 μB per formula unit
Raw total energy = -5.21 eV per atom

=====

# 3
DFT (PBE-GGA) results for a geometry-optimized Zn2OsPdO structure.

```
Zn2OsPdO
1.0
-4.120 2.786 0.457
-1.963 -2.995 0.564
0.811 0.394 4.912
Zn Os O Pd
2 1 1 1
Direct
0.500 0.000 0.000
0.000 0.000 0.500
0.000 0.000 0.000
0.000 0.500 0.000
0.500 0.500 0.500
```

Values from the calculation:
Space group = P4/mmm
Total moment = 0.0 μB per formula unit
ΔE_f (raw) = 0.7 eV/f.u.

=====

# 4
DFT (PBE-GGA) results for a geometry-optimized Pm2CdSn structure.

```
Pm2CdSn
1.0
-0.309 4.052 -1.117
0.707 -1.309 -4.943
-5.100 -0.550 -0.584
Pm Cd Sn
2 1 1
Direct
0.000 0.500 0.000
0.000 0.000 0.500
0.500 0.000 0.000
0.500 0.500 0.500
```

Values from the calculation:
Space group = P4/mmm
Total moment = 0.0 μB per formula unit
ΔE to the lowest computed polymorph = 0.000 eV/atom